# 1
The following is a DFT calculation (PBE-GGA) of a relaxed structure of CeThZrIn.

Lattice parameters (Å, degrees): 5.2969 5.2969 5.2969 60.00 60.00 60.00
Fractional positions:
Zr  0.0000  0.0000  0.0000
Ce  0.2500  0.2500  0.2500
Th  0.5000  0.5000  0.5000
In  0.7500  0.7500  0.7500

Summary:
ΔH_f (0 K) in eV/atom: 0.00

=====

# 2
The following is a DFT calculation (PBE-GGA) of a relaxed structure of Nb4HgTe8.

Lattice parameters (Å, degrees): 7.3556 7.3534 9.9850 90.00 111.64 119.98
Fractional positions:
Nb  0.0000  0.0000  0.0000
Nb  0.0000  0.5000  0.0000
Nb  0.5000  0.5000  0.0000
Nb  0.5000  0.0000  0.0000
Hg  0.0000  0.5000  0.5000
Te  0.4706  0.7353  0.2059
Te  0.5294  0.2647  0.7941
Te  0.4695  0.2347  0.2047
Te  0.0300  0.2647  0.7953
Te  0.5305  0.7653  0.7953
Te  0.0300  0.7653  0.7953
Te  0.9700  0.2347  0.2047
Te  0.9700  0.7353  0.2047

Summary:
E_form (uncorrected) in kJ/mol of formula units: -481

=====

# 3
The following is a DFT calculation (PBE-GGA) of a relaxed structure of La2CdGaAu6.

Lattice parameters (Å, degrees): 6.9146 8.5509 5.8550 70.93 48.21 90.17
Fractional positions:
La  0.6202  0.1930  0.5774
La  0.3798  0.8070  0.4226
Cd  0.5000  0.5000  0.0000
Ga  0.0000  0.0000  0.0000
Au  0.2011  0.1462  0.3597
Au  0.7876  0.5933  0.1612
Au  0.2042  0.7519  0.0833
Au  0.7958  0.2481  0.9167
Au  0.2124  0.4067  0.8388
Au  0.7989  0.8538  0.6403

Summary:
ΔH_f (0 K) in eV/atom: -0.49

=====

# 4
The following is a DFT calculation (PBE-GGA) of a relaxed structure of Sc2TlRe.

Lattice parameters (Å, degrees): 5.6986 5.6986 4.6774 65.68 65.68 36.14
Fractional positions:
Re  0.2534  0.2534  0.2468
Sc  0.9747  0.9747  0.0253
Sc  0.7529  0.7529  0.7472
Tl  0.5191  0.5191  0.4807

Summary:
ΔH_f (0 K) in eV/atom: 0.07

=====

# 5
The following is a DFT calculation (PBE-GGA) of a relaxed structure of Pu2PN4.

Lattice parameters (Å, degrees): 5.3204 5.4611 6.6800 90.00 109.03 90.00
Fractional positions:
Pu  0.6978  0.7500  0.0332
Pu  0.3022  0.2500  0.9668
Pu  0.2043  0.2500  0.4283
Pu  0.7957  0.7500  0.5717
P  0.2622  0.7500  0.2042
P  0.7378  0.2500  0.7958
N  0.4649  0.5139  0.2625
N  0.1015  0.7500  0.9441
N  0.8985  0.2500  0.0559
N  0.4649  0.9861  0.2625
N  0.9428  0.2500  0.6534
N  0.5351  0.0139  0.7375
N  0.5351  0.4861  0.7375
N  0.0572  0.7500  0.3466

Summary:
E_form (uncorrected) in kJ/mol of formula units: -605
Distance to the lowest polymorph of the same formula in meV/atom: 0.0

=====

# 6
The following is a DFT calculation (PBE-GGA) of a relaxed structure of Er2TmIr.

Lattice parameters (Å, degrees): 3.4473 3.4473 8.6631 90.00 90.00 90.00
Fractional positions:
Ir  0.5000  0.5000  0.0000
Tm  0.5000  0.5000  0.5000
Er  0.0000  0.0000  0.8122
Er  0.0000  0.0000  0.1878

Summary:
Distance to the lowest polymorph of the same formula in meV/atom: 200.8
ΔH_f (0 K) in eV/atom: -0.42

=====

# 7
The following is a DFT calculation (PBE-GGA) of a relaxed structure of BeSb2W.

Lattice parameters (Å, degrees): 3.5049 3.5049 6.0343 90.00 90.00 90.00
Fractional positions:
Sb  0.0000  0.0000  0.0002
Sb  0.0000  0.0000  0.4998
W  0.5000  0.5000  0.2500
Be  0.5000  0.5000  0.7500

Summary:
E_form (uncorrected) in kJ/mol of formula units: 255

=====

# 8
The following is a DFT calculation (PBE-GGA) of a relaxed structure of La2TbNd4Sc.

Lattice parameters (Å, degrees): 5.1289 5.1018 11.5261 63.67 90.00 90.00
Fractional positions:
La  0.0000  0.0000  0.0000
La  0.5000  0.0000  0.5000
Tb  0.5000  0.5000  0.0000
Nd  0.0000  0.7556  0.7450
Nd  0.0000  0.2444  0.2550
Nd  0.5000  0.7455  0.2544
Nd  0.5000  0.2545  0.7456
Sc  0.0000  0.5000  0.5000

Summary:
ΔH_f (0 K) in eV/atom: 0.04

=====

# 9
The following is a DFT calculation (PBE-GGA) of a relaxed structure of YBeAg2.

Lattice parameters (Å, degrees): 4.3347 4.3347 5.4174 66.48 66.48 59.75
Fractional positions:
Y  0.7596  0.7596  0.7236
Be  0.5531  0.5531  0.3392
Ag  0.9722  0.9722  0.0837
Ag  0.2151  0.2151  0.3535

Summary:
ΔH_f (0 K) in eV/atom: -0.02

=====

# 10
The following is a DFT calculation (PBE-GGA) of a relaxed structure of TiGe2Pt.

Lattice parameters (Å, degrees): 3.5899 4.1922 4.1922 90.00 90.00 90.00
Fractional positions:
Ge  0.0000  0.0000  0.5000
Ge  0.0000  0.5000  0.0000
Pt  0.5000  0.5000  0.5000
Ti  0.5000  0.0000  0.0000

Summary:
ΔH_f (0 K) in eV/atom: -0.45

=====

# 11
The following is a DFT calculation (PBE-GGA) of a relaxed structure of KScCo.

Lattice parameters (Å, degrees): 4.7212 4.7212 4.7212 60.00 60.00 60.00
Fractional positions:
Co  0.7500  0.7500  0.7500
K  0.0000  0.0000  0.0000
Sc  0.5000  0.5000  0.5000

Summary:
Distance to the lowest polymorph of the same formula in meV/atom: 618.9
ΔH_f (0 K) in eV/atom: 0.99

=====

# 12
The following is a DFT calculation (PBE-GGA) of a relaxed structure of KInW2.

Lattice parameters (Å, degrees): 6.4573 6.4573 6.4573 155.08 131.82 54.99
Fractional positions:
In  0.2500  0.7500  0.5000
K  0.7500  0.2500  0.5000
W  0.0272  0.0272  0.0000
W  0.4728  0.4728  0.0000

Summary:
ΔH_f (0 K) in eV/atom: 1.21